#1
KYSc | PBE | optimized geometry

a = 9.891 Å, b = 9.695 Å, c = 3.469 Å
α = 83.01°, β = 76.62°, γ = 20.37°
Sites, in units of the cell vectors:
K: 0.000 0.000 0.000
Y: 0.309 0.309 0.691
Sc: 0.681 0.681 0.319

Calculated values
Calculated volume   36.0 A^3/atom
N(E_F)   1.898 states/eV per atom
M_tot   0.000 μB/cell



#2
KYSc | PBE | optimized geometry

a = 9.211 Å, b = 9.211 Å, c = 9.211 Å
α = 157.84°, β = 157.84°, γ = 31.55°
Sites, in units of the cell vectors:
K: 0.000 0.000 0.000
Y: 0.694 0.694 0.000
Sc: 0.317 0.317 0.000

Calculated values
Calculated volume   37.1 A^3/atom
N(E_F)   1.551 states/eV per atom
M_tot   0.891 μB/cell



It is #2 that is the most stable of them.